[1]
Entry from the Alexandria database: an optimized crystal structure of MgIn2HRh (PBE-GGA).

Output
* density: 4.352 g cm⁻³
* crystal system: tetragonal
* total moment: 0.000 μB/f.u.
* VASP energy: -2.48 eV/atom

abc: 5.4744 4.5561 5.4744
angles: 90.00 90.00 90.00
With the nearest neighbours (Å) after each atom.
Sites, in units of the cell vectors:
Mg: 0.0000 0.0000 0.0000  2 Rh 2.28
Rh: 0.0000 0.5000 0.0000  2 Mg 2.28
H: 0.5000 0.5000 0.5000  8 In 3.56, 4 Rh 3.87
In: 0.0000 0.0000 0.5000  2 Mg 2.74
In: 0.5000 0.0000 0.0000  2 Mg 2.74

[2]
Entry from the Alexandria database: an optimized crystal structure of Mg2TiInH (PBE-GGA).

Output
* density: 4.408 g cm⁻³
* crystal system: tetragonal
* total moment: 0.000 μB/f.u.
* VASP energy: -3.53 eV/atom

abc: 4.3501 4.3501 4.2259
angles: 90.00 90.00 90.00
With the nearest neighbours (Å) after each atom.
Sites, in units of the cell vectors:
Mg: 0.0000 0.5000 0.0000  2 H 2.18
Mg: 0.5000 0.0000 0.0000  2 H 2.18
In: 0.5000 0.5000 0.5000  8 Mg 3.03, 4 Ti 3.08
H: 0.0000 0.0000 0.0000  2 Ti 2.11, 4 Mg 2.18
Ti: 0.0000 0.0000 0.5000  2 H 2.11

[3]
Entry from the Alexandria database: an optimized crystal structure of MgTl2InH (PBE-GGA).

Output
* density: 7.923 g cm⁻³
* crystal system: tetragonal
* total moment: 0.000 μB/f.u.
* VASP energy: -2.36 eV/atom

abc: 5.3225 5.3225 4.0606
angles: 90.00 90.00 90.00
With the nearest neighbours (Å) after each atom.
Sites, in units of the cell vectors:
H: 0.0000 0.0000 0.0000  2 Mg 2.03
In: 0.5000 0.5000 0.5000  8 Tl 3.35
Mg: 0.0000 0.0000 0.5000  2 H 2.03
Tl: 0.0000 0.5000 0.0000  2 H 2.66
Tl: 0.5000 0.0000 0.0000  2 H 2.66

[4]
Entry from the Alexandria database: an optimized crystal structure of MgTlIn2H (PBE-GGA).

Output
* density: 7.045 g cm⁻³
* crystal system: tetragonal
* total moment: 0.000 μB/f.u.
* VASP energy: -2.42 eV/atom

abc: 4.9028 4.9028 4.5039
angles: 90.00 90.00 90.00
With the nearest neighbours (Å) after each atom.
Sites, in units of the cell vectors:
In: 0.0000 0.5000 0.0000  2 H 2.45
In: 0.5000 0.0000 0.0000  2 H 2.45
Mg: 0.0000 0.0000 0.5000  2 H 2.25
H: 0.0000 0.0000 0.0000  2 Mg 2.25, 4 In 2.45
Tl: 0.5000 0.5000 0.5000  8 In 3.33, 4 Mg 3.47

[5]
Entry from the Alexandria database: an optimized crystal structure of YMgIn2H (PBE-GGA).

Output
* density: 5.661 g cm⁻³
* crystal system: tetragonal
* total moment: 0.000 μB/f.u.
* VASP energy: -3.60 eV/atom

abc: 4.7345 4.7345 4.4997
angles: 90.00 90.00 90.00
With the nearest neighbours (Å) after each atom.
Sites, in units of the cell vectors:
H: 0.0000 0.0000 0.0000  2 Y 2.25, 4 In 2.37
In: 0.5000 0.0000 0.0000  2 H 2.37
In: 0.0000 0.5000 0.0000  2 H 2.37
Mg: 0.5000 0.5000 0.5000  8 In 3.27, 4 Y 3.35
Y: 0.0000 0.0000 0.5000  2 H 2.25

[6]
Entry from the Alexandria database: an optimized crystal structure of Mg2ZnInH (PBE-GGA).

Output
* density: 4.555 g cm⁻³
* crystal system: tetragonal
* total moment: 0.000 μB/f.u.
* VASP energy: -2.08 eV/atom

abc: 4.4619 4.4619 4.2089
angles: 90.00 90.00 90.00
With the nearest neighbours (Å) after each atom.
Sites, in units of the cell vectors:
Zn: 0.0000 0.0000 0.5000  2 H 2.10
Mg: 0.5000 0.0000 0.0000  2 H 2.23
Mg: 0.0000 0.5000 0.0000  2 H 2.23
In: 0.5000 0.5000 0.5000  8 Mg 3.07, 4 Zn 3.16
H: 0.0000 0.0000 0.0000  2 Zn 2.10, 4 Mg 2.23

[7]
Entry from the Alexandria database: an optimized crystal structure of Mg2ZrInH (PBE-GGA).

Output
* density: 4.938 g cm⁻³
* crystal system: tetragonal
* total moment: 0.000 μB/f.u.
* VASP energy: -3.78 eV/atom

abc: 4.4367 4.4367 4.3672
angles: 90.00 90.00 90.00
With the nearest neighbours (Å) after each atom.
Sites, in units of the cell vectors:
In: 0.5000 0.5000 0.5000  8 Mg 3.11, 4 Zr 3.14
Zr: 0.0000 0.0000 0.5000  2 H 2.18
Mg: 0.0000 0.5000 0.0000  2 H 2.22
Mg: 0.5000 0.0000 0.0000  2 H 2.22
H: 0.0000 0.0000 0.0000  2 Zr 2.18, 4 Mg 2.22

[8]
Entry from the Alexandria database: an optimized crystal structure of MgZr2InH (PBE-GGA).

Output
* density: 6.043 g cm⁻³
* crystal system: tetragonal
* energy above the lowest structure with this stoichiometry: 0 kJ/mol of formula units
* total moment: 0.000 μB/f.u.

abc: 4.3709 4.3709 4.6400
angles: 90.00 90.00 90.00
With the nearest neighbours (Å) after each atom.
Sites, in units of the cell vectors:
In: 0.5000 0.5000 0.5000  4 Mg 3.09, 8 Zr 3.19
Zr: 0.5000 0.0000 0.0000  2 H 2.19
Zr: 0.0000 0.5000 0.0000  2 H 2.19
H: 0.0000 0.0000 0.0000  4 Zr 2.19, 2 Mg 2.32
Mg: 0.0000 0.0000 0.5000  2 H 2.32

[9]
Entry from the Alexandria database: an optimized crystal structure of MnIn2H4 (PBE-GGA).

Output
* density: 5.878 g cm⁻³
* crystal system: tetragonal
* total moment: 2.304 μB/f.u.
* VASP energy: -3.78 eV/atom

abc: 3.4462 3.4462 7.2846
angles: 76.32 76.32 90.00
With the nearest neighbours (Å) after each atom.
Sites, in units of the cell vectors:
H: 0.8788 0.8788 0.2424  1 Mn 1.66
H: 0.0000 0.5000 0.0000  2 Mn 1.72
H: 0.1212 0.1212 0.7576  1 Mn 1.66
H: 0.5000 0.0000 0.0000  2 Mn 1.72
In: 0.6527 0.6527 0.6946  8 H 2.47-2.71
In: 0.3473 0.3473 0.3054  8 H 2.47-2.71
Mn: 0.0000 0.0000 0.0000  6 H 1.66-1.72

[10]
Entry from the Alexandria database: an optimized crystal structure of MnInH2 (PBE-GGA).

Output
* density: 6.195 g cm⁻³
* crystal system: cubic
* energy above the lowest structure with this stoichiometry: 238 kJ/mol of formula units
* total moment: 3.958 μB/f.u.

abc: 4.0231 4.0231 4.0231
angles: 60.00 60.00 60.00
With the nearest neighbours (Å) after each atom.
Sites, in units of the cell vectors:
H: 0.2500 0.2500 0.2500  4 Mn 2.46, 4 In 2.46
H: 0.7500 0.7500 0.7500  4 In 2.46, 4 Mn 2.46
Mn: 0.0000 0.0000 0.0000  8 H 2.46
In: 0.5000 0.5000 0.5000  8 H 2.46

[11]
Entry from the Alexandria database: an optimized crystal structure of MnIn3H (PBE-GGA).

Output
* density: 5.004 g cm⁻³
* crystal system: cubic
* energy above the lowest structure with this stoichiometry: 0 kJ/mol of formula units
* total moment: 2.778 μB/f.u.

abc: 5.1029 5.1029 5.1029
angles: 90.00 90.00 90.00
With the nearest neighbours (Å) after each atom.
Sites, in units of the cell vectors:
In: 0.5000 0.0000 0.0000  2 Mn 2.55
In: 0.0000 0.0000 0.5000  2 Mn 2.55
In: 0.0000 0.5000 0.0000  2 Mn 2.55
H: 0.5000 0.5000 0.5000  12 In 3.61
Mn: 0.0000 0.0000 0.0000  6 In 2.55

[12]
Entry from the Alexandria database: an optimized crystal structure of MnIn2H2 (PBE-GGA).

Output
* density: 7.023 g cm⁻³
* crystal system: tetragonal
* total moment: 3.177 μB/f.u.
* VASP energy: -3.80 eV/atom

abc: 3.0984 3.0984 7.3912
angles: 77.90 77.90 90.00
With the nearest neighbours (Å) after each atom.
Sites, in units of the cell vectors:
H: 0.2500 0.7500 0.5000  4 H 2.19, 4 In 2.25
H: 0.7500 0.2500 0.5000  4 H 2.19, 4 In 2.25
In: 0.6344 0.6344 0.7312  4 H 2.25
In: 0.3656 0.3656 0.2688  4 H 2.25
Mn: 0.0000 0.0000 0.0000  8 In 2.90, 4 Mn 3.10